Entry w
A plane-wave DFT calculation with PBE-GGA was carried out for an optimized crystal structure of SrCrTc2.

Unit cell a=3.152 b=4.720 c=4.797 alpha=90.00 beta=90.00 gamma=90.00
Last column: magnetic moment on the atom in μB.
Element x y z (fractional)
Cr: 0.500 0.000 0.500  2.89
Sr: 0.000 0.500 0.500  0.04
Tc: 0.500 0.500 0.000  -0.35
Tc: 0.000 0.000 0.000  -0.84

## Properties
Total moment ... 1.9 μB per cell

***

Entry x
A plane-wave DFT calculation with PBE-GGA was carried out for an optimized crystal structure of SrCrTc2.

Unit cell a=4.645 b=4.645 c=4.645 alpha=60.00 beta=60.00 gamma=60.00
Last column: magnetic moment on the atom in μB.
Element x y z (fractional)
Cr: 0.500 0.500 0.500  2.71
Tc: 0.000 0.000 0.000  -0.02
Tc: 0.250 0.250 0.250  -0.91
Sr: 0.750 0.750 0.750  0.04

## Properties
Total moment ... 2.0 μB per cell

***

Most stable: entry x